# 1
## HoNi3 (PBE-GGA)

Data for HoNi3 after structural relaxation.

a b c (Å): 5.5938 5.5938 4.2443
angles (deg): 90.00 90.00 120.00
With the nearest neighbours (Å) after each atom.
Space group P6_3/mmc (No. 194)
Asymmetric unit:
Ho  0.3333  0.6667  0.2500 [2 per cell]  12 Ni 2.79-2.80
Ni  0.1468  0.2936  0.7500 [6 per cell]  6 Ni 2.46-2.55

Values from the calculation:
As for the formation energy: -315.6 meV per atom. For the magnetization, the calculation gives 0.35 μB/f.u.

# 2
## TaCoSiOs (PBE-GGA)

Data for TaCoSiOs after structural relaxation.

a b c (Å): 6.0653 6.0653 6.0653
angles (deg): 90.00 90.00 90.00
With the nearest neighbours (Å) after each atom.
Space group F-43m (No. 216)
Asymmetric unit:
Ta  0.0000  0.0000  0.0000 [4 per cell]  4 Co 2.63, 4 Os 2.63
Co  0.2500  0.2500  0.7500 [4 per cell]  4 Ta 2.63, 4 Si 2.63
Si  0.0000  0.0000  0.5000 [4 per cell]  4 Co 2.63, 4 Os 2.63
Os  0.2500  0.2500  0.2500 [4 per cell]  4 Ta 2.63, 4 Si 2.63

Values from the calculation:
The total energy is -9.206 eV per atom. For the magnetization, the calculation gives 2.00 μB/f.u.

> Among the records above, which one has the highest magnetization?

TaCoSiOs